# GGA+U FeWN2O, optimized geometry
data_FeWN2O
_space_group_name_H-M_alt 'P 4/m m m'
_space_group_IT_number 123
_space_group_name_Hall '-P 4 2'
_cell_length_a 4.0021
_cell_length_b 4.0021
_cell_length_c 3.8644
_cell_angle_alpha 90.00
_cell_angle_beta 90.00
_cell_angle_gamma 90.00
loop_
_atom_site_label
_atom_site_type_symbol
_atom_site_fract_x
_atom_site_fract_y
_atom_site_fract_z
Fe1 Fe 0.0000 0.0000 0.0000
W1 W 0.5000 0.5000 0.5000
N1 N 0.0000 0.5000 0.5000
O1 O 0.5000 0.5000 0.0000
# * magnetic moment: 0.7728 μB/atom
# * total energy: -6.957 eV/atom